Entry 1:
Below is crystalline ZnFe2Hg at its relaxed geometry, with properties calculated at the GGA-PBEsol level.

Calculated values
Uncorrected energy (eV for the cell shown): -75.27
Total magnetic moment (μB per formula unit): 4.87

a = 6.0622 Å, b = 6.0622 Å, c = 6.0622 Å
α = 90.00°, β = 90.00°, γ = 90.00°
Closest atoms and distances in Å follow each position.
Space group F-43m (No. 216)
Asymmetric unit:
Zn 0.0000 0.0000 0.0000 (multiplicity 4)  4 Hg 2.62, 4 Fe 2.62
Fe 0.0000 0.0000 0.5000 (multiplicity 4)  4 Hg 2.62, 4 Fe 2.62
Fe 0.2500 0.2500 0.7500 (multiplicity 4)  4 Fe 2.62, 4 Zn 2.62
Hg 0.2500 0.2500 0.2500 (multiplicity 4)  4 Fe 2.62, 4 Zn 2.62

---

Entry 2:
Below is crystalline Zn2FeHg at its relaxed geometry, with properties calculated at the GGA-PBEsol level.

Calculated values
Uncorrected energy (eV for the cell shown): -24.33
Total magnetic moment (μB per formula unit): 2.18

a = 3.9097 Å, b = 3.9183 Å, c = 7.8784 Å
α = 90.00°, β = 90.00°, γ = 90.00°
Closest atoms and distances in Å follow each position.
Space group Cmmm (No. 65)
Asymmetric unit:
Zn 0.0000 0.0000 0.2075 (multiplicity 4)  4 Fe 2.55, 4 Zn 2.77
Fe 0.0000 0.5000 0.0000 (multiplicity 2)  8 Zn 2.55, 4 Fe 2.77
Hg 0.0000 0.5000 0.5000 (multiplicity 2)  4 Hg 2.77, 8 Zn 3.02

---

Entry 3:
Below is crystalline ZnFe2Hg at its relaxed geometry, with properties calculated at the GGA-PBEsol level.

Calculated values
Uncorrected energy (eV for the cell shown): -19.09
Total magnetic moment (μB per formula unit): 4.74

a = 2.7020 Å, b = 3.7879 Å, c = 5.4358 Å
α = 90.00°, β = 90.00°, γ = 90.00°
Closest atoms and distances in Å follow each position.
Space group Pmmm (No. 47)
Asymmetric unit:
Zn 0.0000 0.0000 0.0000 (multiplicity 1)  8 Fe 2.61, 2 Zn 2.70, 2 Hg 2.72
Fe 0.5000 0.5000 0.2196 (multiplicity 2)  1 Fe 2.39, 4 Zn 2.61
Hg 0.0000 0.0000 0.5000 (multiplicity 1)  2 Hg 2.70, 2 Zn 2.72, 8 Fe 2.78

---

Entry 4:
Below is crystalline ZnFe2Hg at its relaxed geometry, with properties calculated at the GGA-PBEsol level.

Calculated values
Uncorrected energy (eV for the cell shown): -38.05
Total magnetic moment (μB per formula unit): 4.73

a = 3.0536 Å, b = 4.3389 Å, c = 8.4418 Å
α = 90.00°, β = 90.00°, γ = 90.00°
Closest atoms and distances in Å follow each position.
Space group Imm2 (No. 44)
Asymmetric unit:
Zn 0.0000 0.0000 0.0000 (multiplicity 2)  6 Fe 2.62-2.67, 4 Hg 2.73-2.92
Fe 0.0000 0.0000 0.5372 (multiplicity 2)  2 Fe 2.34
Fe 0.0000 0.5000 0.2478 (multiplicity 2)  2 Fe 2.34, 2 Zn 2.62
Hg 0.0000 0.5000 0.7681 (multiplicity 2)  8 Fe 2.66-2.92, 4 Zn 2.73-2.92

---

Entry 5:
Below is crystalline ZrFeHg2 at its relaxed geometry, with properties calculated at the GGA-PBEsol level.

Calculated values
Total magnetic moment (μB per formula unit): 2.13
Energy relative to the lowest polymorph listed for this composition (meV/atom): 52.0

a = 4.1337 Å, b = 4.1337 Å, c = 4.3067 Å
α = 90.00°, β = 90.00°, γ = 90.00°
Closest atoms and distances in Å follow each position.
Space group P4/mmm (No. 123)
Asymmetric unit:
Zr 0.0000 0.0000 0.0000 (multiplicity 1)  4 Fe 2.92, 8 Hg 2.98
Fe 0.5000 0.5000 0.0000 (multiplicity 1)  4 Zr 2.92, 8 Hg 2.98
Hg 0.0000 0.5000 0.5000 (multiplicity 2)  4 Hg 2.92, 4 Fe 2.98, 4 Zr 2.98

---

Entry 6:
Below is crystalline ZrFeHg2 at its relaxed geometry, with properties calculated at the GGA-PBEsol level.

Calculated values
Total magnetic moment (μB per formula unit): 1.91
Energy relative to the lowest polymorph listed for this composition (meV/atom): 0.0

a = 4.2146 Å, b = 4.3008 Å, c = 7.9742 Å
α = 90.00°, β = 90.00°, γ = 90.00°
Closest atoms and distances in Å follow each position.
Space group Immm (No. 71)
Asymmetric unit:
Zr 0.0000 0.0000 0.0000 (multiplicity 2)  8 Hg 2.91-2.92, 4 Fe 3.01
Fe 0.0000 0.0000 0.5000 (multiplicity 2)  8 Hg 2.89-2.94, 4 Zr 3.01
Hg 0.0000 0.5000 0.2481 (multiplicity 4)  4 Fe 2.89-2.94, 4 Zr 2.91-2.92, 4 Hg 3.01

---

Entry 7:
Below is crystalline ZrFe4Hg at its relaxed geometry, with properties calculated at the GGA-PBEsol level.

Calculated values
Uncorrected energy (eV for the cell shown): -184.64
Total magnetic moment (μB per formula unit): 6.42

a = 6.8536 Å, b = 6.8536 Å, c = 6.8536 Å
α = 90.00°, β = 90.00°, γ = 90.00°
Closest atoms and distances in Å follow each position.
Space group F-43m (No. 216)
Asymmetric unit:
Zr 0.0000 0.0000 0.0000 (multiplicity 4)  12 Fe 2.84, 4 Hg 2.97
Fe 0.1241 0.1241 0.3759 (multiplicity 16)  6 Fe 2.41-2.44
Hg 0.2500 0.2500 0.7500 (multiplicity 4)  12 Fe 2.84, 4 Zr 2.97

---

Entry 8:
Below is crystalline ZrFe2Hg at its relaxed geometry, with properties calculated at the GGA-PBEsol level.

Calculated values
Uncorrected energy (eV for the cell shown): -54.65
Total magnetic moment (μB per formula unit): 3.22

a = 3.3210 Å, b = 4.2491 Å, c = 8.7532 Å
α = 90.00°, β = 90.00°, γ = 90.00°
Closest atoms and distances in Å follow each position.
Space group Imm2 (No. 44)
Asymmetric unit:
Zr 0.0000 0.0000 0.0000 (multiplicity 2)  8 Fe 2.71-2.94, 4 Hg 2.90-2.92
Fe 0.0000 0.0000 0.5329 (multiplicity 2)  2 Fe 2.41
Fe 0.0000 0.5000 0.2322 (multiplicity 2)  2 Fe 2.41
Hg 0.0000 0.5000 0.7742 (multiplicity 2)  8 Fe 2.72-3.00, 4 Zr 2.90-2.92

---

Entry 9:
Below is crystalline ZrFeHg2 at its relaxed geometry, with properties calculated at the GGA-PBEsol level.

Calculated values
Total magnetic moment (μB per formula unit): 2.44
Energy relative to the lowest polymorph listed for this composition (meV/atom): 136.6

a = 5.9882 Å, b = 8.3385 Å, c = 2.9700 Å
α = 90.00°, β = 90.00°, γ = 90.00°
Closest atoms and distances in Å follow each position.
Space group Cmmm (No. 65)
Asymmetric unit:
Zr 0.0000 0.0000 0.0000 (multiplicity 2)  8 Hg 2.97, 2 Zr 2.97, 2 Fe 2.99
Fe 0.0000 0.5000 0.0000 (multiplicity 2)  8 Hg 2.97, 2 Fe 2.97, 2 Zr 2.99
Hg 0.2500 0.2500 0.5000 (multiplicity 4)  4 Zr 2.97, 4 Fe 2.97, 4 Hg 2.97-2.99

---

Entry 10:
Below is crystalline ZrFeHg at its relaxed geometry, with properties calculated at the GGA-PBEsol level.

Calculated values
Uncorrected energy (eV for the cell shown): -67.55
Total magnetic moment (μB per formula unit): 2.63

a = 6.3070 Å, b = 6.3070 Å, c = 6.3070 Å
α = 90.00°, β = 90.00°, γ = 90.00°
Closest atoms and distances in Å follow each position.
Space group F-43m (No. 216)
Asymmetric unit:
Zr 0.0000 0.0000 0.0000 (multiplicity 4)  4 Hg 2.73
Fe 0.0000 0.0000 0.5000 (multiplicity 4)  4 Hg 2.73
Hg 0.2500 0.2500 0.7500 (multiplicity 4)  4 Zr 2.73, 4 Fe 2.73

---

Entry 11:
Below is crystalline Ho3Fe29 at its relaxed geometry, with properties calculated at the GGA-PBEsol level.

Calculated values
Uncorrected energy (eV for the cell shown): -548.71
Total magnetic moment (μB per formula unit): 50.95

a = 9.3356 Å, b = 8.1856 Å, c = 10.1642 Å
α = 90.00°, β = 96.55°, γ = 90.00°
Closest atoms and distances in Å follow each position.
Space group C2/m (No. 12)
Asymmetric unit:
Ho 0.0000 0.0000 0.0000 (multiplicity 2)  20 Fe 2.90-3.12
Ho 0.1876 0.0000 0.5976 (multiplicity 4)  19 Fe 2.87-3.19
Fe 0.0000 0.3594 0.0000 (multiplicity 4)  9 Fe 2.30-2.56
Fe 0.0000 0.5000 0.5000 (multiplicity 2)  10 Fe 2.35-2.53
Fe 0.0176 0.5000 0.2533 (multiplicity 4)  7 Fe 2.29-2.56
Fe 0.0595 0.2508 0.4044 (multiplicity 8)  9 Fe 2.35-2.56
Fe 0.0920 0.0000 0.2937 (multiplicity 4)  9 Fe 2.37-2.60
Fe 0.0937 0.2185 0.8018 (multiplicity 8)  10 Fe 2.32-2.60
Fe 0.1534 0.2521 0.1991 (multiplicity 8)  10 Fe 2.31-2.53
Fe 0.1895 0.3527 0.6201 (multiplicity 8)  8 Fe 2.36-2.53
Fe 0.2091 0.5000 0.8586 (multiplicity 4)  7 Fe 2.29-2.55
Fe 0.2215 0.5000 0.1089 (multiplicity 4)  10 Fe 2.34-2.58
Fe 0.2500 0.2500 0.0000 (multiplicity 4)  10 Fe 2.31-2.50

---

Entry 12:
Below is crystalline Ho2Fe17 at its relaxed geometry, with properties calculated at the GGA-PBEsol level.

Calculated values
Uncorrected energy (eV for the cell shown): -324.22
Total magnetic moment (μB per formula unit): 28.84

a = 8.1566 Å, b = 8.1566 Å, c = 8.0377 Å
α = 90.00°, β = 90.00°, γ = 120.00°
Closest atoms and distances in Å follow each position.
Space group P6_3/mmc (No. 194)
Asymmetric unit:
Ho 0.0000 0.0000 0.2500 (multiplicity 2)  18 Fe 2.86-3.14
Ho 0.3333 0.6667 0.2500 (multiplicity 2)  20 Fe 2.88-3.10
Fe 0.0000 0.5000 0.0000 (multiplicity 6)  10 Fe 2.37-2.51
Fe 0.0399 0.3691 0.7500 (multiplicity 12)  8 Fe 2.36-2.54
Fe 0.1653 0.3306 0.0114 (multiplicity 12)  9 Fe 2.34-2.56
Fe 0.3333 0.6667 0.6085 (multiplicity 4)  4 Fe 2.28-2.51

---

The highest total magnetic moment belongs to which entry? Ho3Fe29

---

Number 7 is which compound? ZrFe4Hg